[1]
AlBrN2 | GGA-PBEsol | relaxed

The energy above the most stable polymorph in this dataset comes out at 0 meV per atom. As for the volume: 53 Å³/f.u. The value obtained for the uncorrected formation energy is 0.62 eV per atom. As for the crystal system: tetragonal.

The space group is I-42d (No. 122) and the conventional cell measures 5.263, 5.263 and 7.601 Å, with angles of 90.00, 90.00 and 90.00 degrees. The distinct sites, in fractional coordinates, are Al at (0.000, 0.000, 0.000), Br at (0.000, 0.000, 0.500) and N at (0.179, 0.250, 0.125).


[2]
AlSBr3N | GGA-PBEsol | relaxed

As for the volume: 167 Å³/f.u. The value obtained for the uncorrected formation energy is -0.62 eV per atom. As for the crystal system: monoclinic.

The space group is P2_1/c (No. 14) and the conventional cell measures 7.428, 10.047 and 9.879 Å, with angles of 90.00, 115.00 and 90.00 degrees. The distinct sites, in fractional coordinates, are Al at (0.242, 0.127, 0.354), S at (0.141, 0.531, 0.119), Br at (0.053, 0.662, 0.356), Br at (0.384, 0.177, 0.957), Br at (0.429, 0.529, 0.798) and N at (0.105, 0.042, 0.458).


[3]
AlSe2BrN | GGA-PBEsol | relaxed

As for the volume: 93 Å³/f.u. The value obtained for the uncorrected formation energy is 0.41 eV per atom. As for the crystal system: tetragonal.

The space group is P4/mmm (No. 123) and the conventional cell measures 5.106, 5.106 and 3.551 Å, with angles of 90.00, 90.00 and 90.00 degrees. The distinct sites, in fractional coordinates, are Al at (0.000, 0.000, 0.000), Se at (0.000, 0.500, 0.000), Br at (0.500, 0.500, 0.500) and N at (0.000, 0.000, 0.500).